No. 1
{"formula": "ReTeMo2", "functional": "GGA-PBE", "state": "relaxed", "cell": [[-3.095, 2.431, -3.042], [2.493, -3.794, -2.032], [-2.252, -1.895, 0.776]], "species": ["Te", "Re", "Mo", "Mo"], "fractional_positions": [[0.000, 0.500, 0.500], [0.500, 0.000, 0.500], [0.000, 0.000, 0.000], [0.500, 0.500, 0.000]], "m_tot_mub_per_cell": 0.0, "sg": "Cmmm, No. 65", "formation_energy_uncorrected_ev_per_atom": 0.584}

---

No. 2
{"formula": "SrLaTl2", "functional": "GGA-PBE", "state": "relaxed", "cell": [[5.750, 0.000, 0.000], [2.875, 4.980, 0.000], [2.875, 1.660, 4.695]], "species": ["La", "Sr", "Tl", "Tl"], "fractional_positions": [[0.500, 0.500, 0.500], [0.750, 0.750, 0.750], [0.250, 0.250, 0.250], [0.000, 0.000, 0.000]], "m_tot_mub_per_cell": 0.0, "sg": "F-43m, No. 216", "formation_enthalpy_0k_kj_per_mol_atoms": -1}

---

No. 3
{"formula": "BaCuAsO2", "functional": "GGA-PBE", "state": "relaxed", "cell": [[4.073, 0.000, 0.000], [0.000, 6.228, 0.000], [0.000, 0.000, 4.073]], "species": ["Cu", "Ba", "As", "O", "O"], "fractional_positions": [[0.500, 0.500, 0.500], [0.000, 0.500, 0.000], [0.000, 0.000, 0.000], [0.000, 0.000, 0.500], [0.500, 0.000, 0.000]], "m_tot_mub_per_cell": 0.0, "sg": "P4/mmm, No. 123", "formation_energy_uncorrected_ev_per_atom": -0.086}

---

No. 4
{"formula": "Hf2PdRu2", "functional": "GGA-PBE", "state": "relaxed", "cell": [[7.171, 0.000, 0.000], [0.000, 7.171, 0.000], [0.000, 0.000, 3.395]], "species": ["Hf", "Hf", "Hf", "Hf", "Pd", "Pd", "Ru", "Ru", "Ru", "Ru"], "fractional_positions": [[0.331, 0.169, 0.500], [0.669, 0.831, 0.500], [0.169, 0.669, 0.500], [0.831, 0.331, 0.500], [0.000, 0.000, 0.000], [0.500, 0.500, 0.000], [0.133, 0.367, 0.000], [0.633, 0.133, 0.000], [0.367, 0.867, 0.000], [0.867, 0.633, 0.000]], "m_tot_mub_per_cell": 0.0, "sg": "P4/mbm, No. 127", "formation_enthalpy_0k_kj_per_mol_atoms": -43}

---

No. 5
{"formula": "HgAsPt", "functional": "GGA-PBE", "state": "relaxed", "cell": [[6.151, 0.000, 0.000], [0.000, 6.998, -0.642], [0.000, -2.537, 6.361]], "species": ["As", "As", "As", "As", "Hg", "Hg", "Hg", "Hg", "Pt", "Pt", "Pt", "Pt"], "fractional_positions": [[0.600, 0.660, 0.843], [0.100, 0.340, 0.657], [0.900, 0.660, 0.343], [0.400, 0.340, 0.157], [0.138, 0.872, 0.146], [0.862, 0.128, 0.854], [0.362, 0.872, 0.646], [0.638, 0.128, 0.354], [0.964, 0.690, 0.713], [0.464, 0.310, 0.787], [0.036, 0.310, 0.287], [0.536, 0.690, 0.213]], "de_polymorph_mev_per_atom": 2, "m_tot_mub_per_cell": 0.0, "sg": "P2_1/c, No. 14", "formation_enthalpy_0k_kj_per_mol_atoms": -9}

---

No. 6
{"formula": "Ca2PaPt3", "functional": "GGA-PBE", "state": "relaxed", "cell": [[3.527, 0.000, 0.000], [0.000, 4.949, 0.000], [0.000, 0.000, 15.221]], "species": ["Pt", "Pt", "Pt", "Pt", "Pt", "Pt", "Ca", "Ca", "Ca", "Ca", "Pa", "Pa"], "fractional_positions": [[0.502, 0.000, 0.142], [0.503, 0.500, 0.000], [0.498, 0.500, 0.358], [0.498, 0.500, 0.642], [0.497, 0.000, 0.500], [0.502, 0.000, 0.858], [0.998, 0.000, 0.674], [0.998, 0.000, 0.326], [0.002, 0.500, 0.826], [0.002, 0.500, 0.174], [0.997, 0.500, 0.500], [0.003, 0.000, 0.000]], "de_polymorph_mev_per_atom": 0, "m_tot_mub_per_cell": 0.0, "sg": "Pmmn, No. 59", "formation_enthalpy_0k_kj_per_mol_atoms": -92}

---

No. 7
{"formula": "KAcPbI6", "functional": "GGA-PBE", "state": "relaxed", "cell": [[7.911, 0.000, 0.000], [0.000, 7.911, 0.000], [0.000, 0.000, 15.013]], "species": ["I", "I", "I", "I", "I", "I", "I", "I", "I", "I", "I", "I", "Pb", "Pb", "Ac", "Ac", "K", "K"], "fractional_positions": [[0.793, 0.207, 0.822], [0.293, 0.293, 0.322], [0.207, 0.793, 0.822], [0.207, 0.793, 0.178], [0.187, 0.813, 0.501], [0.813, 0.187, 0.501], [0.313, 0.313, 0.001], [0.707, 0.707, 0.678], [0.707, 0.707, 0.322], [0.293, 0.293, 0.678], [0.793, 0.207, 0.178], [0.687, 0.687, 0.001], [0.500, 0.500, 0.166], [0.000, 0.000, 0.666], [0.500, 0.500, 0.832], [0.000, 0.000, 0.332], [0.500, 0.500, 0.499], [0.000, 0.000, 0.999]], "m_tot_mub_per_cell": 0.0, "sg": "P4_2nm, No. 102", "formation_energy_uncorrected_ev_per_atom": -1.206}

---

No. 8
{"formula": "LiAcAgAu2", "functional": "GGA-PBE", "state": "relaxed", "cell": [[-1.146, -4.025, -0.096], [3.833, -1.060, -1.309], [0.611, 1.835, 7.000]], "species": ["Au", "Au", "Ac", "Ag", "Li"], "fractional_positions": [[0.609, 0.609, 0.217], [0.391, 0.391, 0.783], [0.000, 0.000, 0.000], [0.750, 0.250, 0.500], [0.250, 0.750, 0.500]], "m_tot_mub_per_cell": 0.0, "sg": "I-4m2, No. 119", "formation_enthalpy_0k_kj_per_mol_atoms": -55}